Record 1
VASP calculation (PBE) on a relaxed structure of CaAc3Rh2.

The structure in POSCAR format:
```
CaAc3Rh2
1.0
8.8231 -2.2069 0.0000
8.8231 2.2069 0.0000
-6.0703 0.0000 10.5642
Ca Ac Rh
2 6 4
direct
0.0700 0.0700 0.1634 Ca
0.9300 0.9300 0.8366 Ca
0.1678 0.1678 0.5246 Ac
0.2891 0.2891 0.9041 Ac
0.4484 0.4484 0.2769 Ac
0.5516 0.5516 0.7231 Ac
0.7109 0.7109 0.0959 Ac
0.8322 0.8322 0.4754 Ac
0.1222 0.1222 0.9172 Rh
0.3623 0.3623 0.6537 Rh
0.6377 0.6377 0.3463 Rh
0.8778 0.8778 0.0828 Rh
```

Formation energy (eV/atom): -0.4994
SG: C2/m (12)

Record 2
VASP calculation (PBE) on a relaxed structure of CaBeH2F8.

The structure in POSCAR format:
```
CaBeH2F8
1.0
4.4484 0.0000 0.0000
0.0000 6.7592 0.0000
-2.1326 0.0000 4.2426
Ca Be H F
1 1 2 8
direct
0.0000 0.0000 0.0000 Ca
0.0000 0.5000 0.0000 Be
0.0000 0.3083 0.5000 H
0.0000 0.6917 0.5000 H
0.0369 0.2999 0.2756 F
0.0369 0.7001 0.2756 F
0.4123 0.0000 0.7685 F
0.4193 0.5000 0.1616 F
0.5807 0.5000 0.8384 F
0.5877 0.0000 0.2315 F
0.9631 0.2999 0.7244 F
0.9631 0.7001 0.7244 F
```

SG: P2/m (10)
Raw total energy (eV per atom): -4.45